# 1
Computed, not measured: crystalline TaTePt2 at its relaxed geometry at the PBEsol level of DFT.

a b c (Å): 2.827 5.034 5.034
angles (deg): 90.00 90.00 90.00
Positions (direct):
Pt: 0.000 0.000 0.500
Ta: 0.500 0.500 0.500
Pt: 0.000 0.500 0.000
Te: 0.500 0.000 0.000

Raw formation energy = 0.01 eV/atom
Spin magnetization = 0.00 μB per formula unit
ρ = 16195 kg/m3
DOS(E_F) = 1.4 states/eV/cell

# 2
Computed, not measured: crystalline TaTePt2 at its relaxed geometry at the PBEsol level of DFT.

a b c (Å): 3.462 3.462 7.900
angles (deg): 77.34 77.34 60.00
Positions (direct):
Te: 0.000 0.000 0.000
Pt: 0.761 0.761 0.718
Ta: 0.500 0.500 0.500
Pt: 0.239 0.239 0.282

Raw formation energy = -0.18 eV/atom
Spin magnetization = 0.00 μB per formula unit
ρ = 14625 kg/m3
DOS(E_F) = 1.9 states/eV/cell

# 3
Computed, not measured: crystalline TaTePt2 at its relaxed geometry at the PBEsol level of DFT.

a b c (Å): 2.928 2.928 8.431
angles (deg): 90.00 90.00 90.00
Positions (direct):
Te: 0.500 0.500 0.500
Pt: 0.000 0.000 0.216
Ta: 0.500 0.500 0.000
Pt: 0.000 0.000 0.784

Raw formation energy = -0.28 eV/atom
Spin magnetization = 0.00 μB per formula unit
ρ = 16048 kg/m3
DOS(E_F) = 2.0 states/eV/cell

# 4
Computed, not measured: crystalline TaTl2Pt at its relaxed geometry at the PBEsol level of DFT.

a b c (Å): 4.774 4.774 4.774
angles (deg): 60.00 60.00 60.00
Positions (direct):
Tl: 0.750 0.750 0.750
Pt: 0.000 0.000 0.000
Ta: 0.500 0.500 0.500
Tl: 0.250 0.250 0.250

Distance to the lowest polymorph of the same formula = 0.421 eV per atom
Calculated formation energy = 0.560 eV/atom
Spin magnetization = 1.15 μB per formula unit
ρ = 16935 kg/m3
DOS(E_F) = 3.7 states/eV/cell

# 5
Computed, not measured: crystalline TaTlPt2 at its relaxed geometry at the PBEsol level of DFT.

a b c (Å): 3.296 4.737 5.029
angles (deg): 102.40 90.00 110.36
Positions (direct):
Pt: 0.766 0.533 0.792
Tl: 0.000 0.000 0.500
Ta: 0.500 0.000 0.000
Pt: 0.234 0.467 0.208

Calculated formation energy = -0.097 eV/atom
Spin magnetization = 0.00 μB per formula unit
ρ = 17971 kg/m3
DOS(E_F) = 1.2 states/eV/cell

# 6
Computed, not measured: crystalline TaTlPt2 at its relaxed geometry at the PBEsol level of DFT.

a b c (Å): 2.936 2.936 8.158
angles (deg): 90.00 90.00 90.00
Positions (direct):
Tl: 0.500 0.500 0.500
Pt: 0.000 0.000 0.222
Pt: 0.000 0.000 0.778
Ta: 0.500 0.500 0.000

Calculated formation energy = -0.308 eV/atom
Spin magnetization = 0.00 μB per formula unit
ρ = 18306 kg/m3
DOS(E_F) = 3.3 states/eV/cell

# 7
Computed, not measured: crystalline TaTl2Pt at its relaxed geometry at the PBEsol level of DFT.

a b c (Å): 4.112 4.112 5.488
angles (deg): 112.00 112.00 90.00
Positions (direct):
Tl: 0.750 0.250 0.500
Tl: 0.250 0.750 0.500
Pt: 0.500 0.500 0.000
Ta: 0.000 0.000 0.000

Distance to the lowest polymorph of the same formula = 0.398 eV per atom
Calculated formation energy = 0.536 eV/atom
Spin magnetization = 0.00 μB per formula unit
ρ = 16557 kg/m3
DOS(E_F) = 4.6 states/eV/cell

# 8
Computed, not measured: crystalline TaTl2Pt at its relaxed geometry at the PBEsol level of DFT.

a b c (Å): 4.143 4.143 5.357
angles (deg): 112.75 112.75 90.00
Positions (direct):
Ta: 0.250 0.750 0.500
Tl: 0.000 0.000 0.000
Tl: 0.750 0.250 0.500
Pt: 0.500 0.500 0.000

Distance to the lowest polymorph of the same formula = 0.256 eV per atom
Calculated formation energy = 0.394 eV/atom
Spin magnetization = 0.00 μB per formula unit
ρ = 16927 kg/m3
DOS(E_F) = 2.4 states/eV/cell

# 9
Computed, not measured: crystalline TaTlPt2 at its relaxed geometry at the PBEsol level of DFT.

a b c (Å): 2.961 2.961 9.449
angles (deg): 80.99 80.99 60.00
Positions (direct):
Pt: 0.756 0.756 0.731
Ta: 0.500 0.500 0.500
Pt: 0.244 0.244 0.269
Tl: 0.000 0.000 0.000

Calculated formation energy = -0.121 eV/atom
Spin magnetization = 0.00 μB per formula unit
ρ = 18249 kg/m3
DOS(E_F) = 3.3 states/eV/cell

# 10
Computed, not measured: crystalline TaTlPt3 at its relaxed geometry at the PBEsol level of DFT.

a b c (Å): 4.882 4.882 4.882
angles (deg): 90.00 90.00 90.00
Positions (direct):
Pt: 0.000 0.500 0.000
Pt: 0.000 0.000 0.500
Ta: 0.000 0.000 0.000
Pt: 0.500 0.000 0.000
Tl: 0.500 0.500 0.500

Calculated formation energy = 0.834 eV/atom
Spin magnetization = 0.00 μB per formula unit
ρ = 13855 kg/m3
DOS(E_F) = 4.5 states/eV/cell

# 11
Computed, not measured: crystalline TaTl2Pt at its relaxed geometry at the PBEsol level of DFT.

a b c (Å): 3.111 3.111 9.966
angles (deg): 81.02 81.02 60.00
Positions (direct):
Tl: 0.994 0.994 0.019
Tl: 0.758 0.758 0.726
Ta: 0.241 0.241 0.277
Pt: 0.507 0.507 0.478

Distance to the lowest polymorph of the same formula = 0.000 eV per atom
Calculated formation energy = 0.138 eV/atom
Spin magnetization = 0.00 μB per formula unit
ρ = 15865 kg/m3
DOS(E_F) = 1.9 states/eV/cell

# 12
Computed, not measured: crystalline TaPt2W at its relaxed geometry at the PBEsol level of DFT.

a b c (Å): 2.756 4.915 4.915
angles (deg): 111.98 90.00 90.00
Positions (direct):
Pt: 0.000 0.000 0.500
W: 0.500 0.500 0.500
Ta: 0.500 0.000 0.000
Pt: 0.000 0.500 0.000

Calculated formation energy = -0.443 eV/atom
Spin magnetization = 0.00 μB per formula unit
ρ = 20308 kg/m3
DOS(E_F) = 2.9 states/eV/cell

# 13
Computed, not measured: crystalline TaPt2W at its relaxed geometry at the PBEsol level of DFT.

a b c (Å): 2.812 4.847 4.871
angles (deg): 99.65 106.77 90.00
Positions (direct):
W: 0.000 0.500 0.000
Ta: 0.500 0.000 0.000
Pt: 0.748 0.746 0.496
Pt: 0.252 0.254 0.504

Calculated formation energy = -0.230 eV/atom
Spin magnetization = 0.00 μB per formula unit
ρ = 20033 kg/m3
DOS(E_F) = 2.8 states/eV/cell

# 14
Computed, not measured: crystalline Ta2PtW at its relaxed geometry at the PBEsol level of DFT.

a b c (Å): 2.817 2.817 9.783
angles (deg): 81.72 81.72 60.00
Positions (direct):
Pt: 0.249 0.249 0.252
Ta: 0.751 0.751 0.746
Ta: 0.995 0.995 0.014
W: 0.504 0.504 0.487

Calculated formation energy = 0.047 eV/atom
Spin magnetization = 0.00 μB per formula unit
ρ = 18552 kg/m3
DOS(E_F) = 4.1 states/eV/cell

# 15
Computed, not measured: crystalline TaPtW at its relaxed geometry at the PBEsol level of DFT.

a b c (Å): 4.305 4.305 4.305
angles (deg): 60.00 60.00 60.00
Positions (direct):
W: 0.500 0.500 0.500
Pt: 0.250 0.250 0.250
Ta: 0.000 0.000 0.000

Calculated formation energy = 0.562 eV/atom
Spin magnetization = 0.00 μB per formula unit
ρ = 16475 kg/m3
DOS(E_F) = 4.0 states/eV/cell

# 16
Computed, not measured: crystalline Ta2PtW at its relaxed geometry at the PBEsol level of DFT.

a b c (Å): 4.523 4.523 4.523
angles (deg): 60.00 60.00 60.00
Positions (direct):
Ta: 0.000 0.000 0.000
W: 0.250 0.250 0.250
Pt: 0.500 0.500 0.500
Ta: 0.750 0.750 0.750

Calculated formation energy = -0.042 eV/atom
Spin magnetization = 0.00 μB per formula unit
ρ = 18796 kg/m3
DOS(E_F) = 4.8 states/eV/cell

# 17
Computed, not measured: crystalline Ta2PtW at its relaxed geometry at the PBEsol level of DFT.

a b c (Å): 4.060 4.060 4.911
angles (deg): 114.42 114.42 90.00
Positions (direct):
Ta: 0.250 0.750 0.500
W: 0.500 0.500 0.000
Ta: 0.750 0.250 0.500
Pt: 0.000 0.000 0.000

Calculated formation energy = -0.153 eV/atom
Spin magnetization = 0.00 μB per formula unit
ρ = 18735 kg/m3
DOS(E_F) = 3.9 states/eV/cell

# 18
Computed, not measured: crystalline TaPtW2 at its relaxed geometry at the PBEsol level of DFT.

a b c (Å): 2.712 4.904 5.039
angles (deg): 97.64 90.00 106.05
Positions (direct):
W: 0.241 0.482 0.755
Ta: 0.758 0.516 0.261
W: 0.998 0.997 0.989
Pt: 0.502 0.005 0.495

Calculated formation energy = -0.019 eV/atom
Spin magnetization = 0.00 μB per formula unit
ρ = 19362 kg/m3
DOS(E_F) = 2.7 states/eV/cell

# 19
Computed, not measured: crystalline Ta2PtW at its relaxed geometry at the PBEsol level of DFT.

a b c (Å): 2.739 5.243 5.243
angles (deg): 114.71 99.16 99.16
Positions (direct):
Ta: 0.000 0.000 0.500
Pt: 0.500 0.500 0.500
W: 0.500 0.000 0.000
Ta: 0.000 0.500 0.000

Calculated formation energy = -0.163 eV/atom
Spin magnetization = 0.00 μB per formula unit
ρ = 18825 kg/m3
DOS(E_F) = 3.4 states/eV/cell

# 20
Computed, not measured: crystalline TaPt2W at its relaxed geometry at the PBEsol level of DFT.

a b c (Å): 2.753 4.524 4.957
angles (deg): 90.00 90.00 90.00
Positions (direct):
Ta: 0.500 0.000 0.543
Pt: 0.000 0.000 0.047
Pt: 0.000 0.500 0.709
W: 0.500 0.500 0.201

Calculated formation energy = -0.470 eV/atom
Spin magnetization = 0.00 μB per formula unit
ρ = 20308 kg/m3
DOS(E_F) = 1.7 states/eV/cell